Entry from the Alexandria database: crystalline PuTiFe at its relaxed geometry (PBE).

a b c (Å): 4.508 4.528 4.878
angles (deg): 67.07 81.25 80.42
Fractional positions:
Pu: 0.243 0.097 0.429
Pu: 0.757 0.903 0.571
Ti: 0.225 0.728 0.070
Ti: 0.775 0.272 0.930
Fe: 0.295 0.431 0.698
Fe: 0.705 0.569 0.302

## Properties
The formation energy is 0.140 eV/atom. The calculation puts the volume at 15.0 Å³ per atom. The space-group type is P-1, No. 2.